# AgHg2I, relaxed, DFT PBE
data_AgHg2I
_cell_length_a 7.305
_cell_length_b 7.305
_cell_length_c 7.385
_cell_angle_alpha 92.55
_cell_angle_beta 92.55
_cell_angle_gamma 40.31
_space_group_name_H-M_alt 'P 1'
_space_group_IT_number 1
loop_
_space_group_symop_operation_xyz
'x,y,z'
loop_
_atom_site_label
_atom_site_fract_x
_atom_site_fract_y
_atom_site_fract_z
Ag1 0.221 0.221 0.090
Ag2 0.779 0.779 0.910
Hg1 0.000 0.000 0.000
Hg2 0.000 0.000 0.500
Hg3 0.427 0.427 0.255
Hg4 0.573 0.573 0.745
I1 0.296 0.296 0.725
I2 0.704 0.704 0.275
# relative energy among the computed polymorphs: 9 meV per atom
# space-group type: No. 12
# formation energy without anion corrections: -0.091 eV per atom
# total magnetization: 0.00 μB/atom
# DFT total energy: -1.342 eV per atom